Here is an optimized crystal structure of KSr3Mg from the Alexandria database. Energies are from GGA-PBE.

Calculated values
E_tot in eV per atom: -0.760
D(E_F) in states/eV per cell: 8.92
DFT formation energy in eV per atom: 0.787
Total magnetization in μB/f.u.: 0.00
Energy above the most stable polymorph in this dataset in meV per atom: 612

a b c (Å): 6.9021 6.9021 6.9021
angles (deg): 90.00 90.00 90.00
Element x y z (fractional)
K 0.0000 0.0000 0.0000
Sr 0.0000 0.0000 0.5000
Sr 0.0000 0.5000 0.0000
Sr 0.5000 0.0000 0.0000
Mg 0.5000 0.5000 0.5000